A plane-wave DFT calculation with GGA-PBE was carried out for a relaxed structure of In2SnPb.

Properties
Crystal system: orthorhombic
Total energy (eV per cell): -26.18
Excess energy over the best structure of this formula in the dataset (eV/atom): 0.001
DOS(E_F) (states/eV per atom): 0.373
ΔH_f (0 K) (eV per atom): 0.0241

a b c (Å): 4.453 5.196 9.898
angles (deg): 90.00 90.00 90.00
Space group Cmmm (No. 65)
Asymmetric unit:
In1 0.000 0.000 0.240 x4
Sn1 0.000 0.500 0.000 x2
Pb1 0.000 0.500 0.500 x2